Computed, not measured: a relaxed BaAgP2S6 crystal at the PBE level of DFT.

Geometry as extended XYZ:
```
20
Lattice="8.276 0.910 0.309 -0.110 8.325 0.309 -2.093 -2.367 7.377" Properties=species:S:1:pos:R:3 pbc="T T T"
P 5.436 4.222 6.601
P 4.571 7.095 2.913
P 0.637 2.646 1.393
P 1.501 -0.227 5.082
S 1.647 3.412 2.966
S 1.403 1.126 0.370
S 6.173 6.521 3.936
S 4.425 3.456 5.029
S -0.927 2.834 6.519
S 3.934 5.998 1.340
S 3.973 0.610 2.830
S 2.138 0.869 6.654
S 7.000 4.033 1.476
S 4.670 5.742 7.624
S 2.100 6.258 5.164
S -0.100 0.347 4.059
Ba 5.315 0.365 5.842
Ba 0.758 6.503 2.153
Ag 1.858 3.422 5.842
Ag 4.215 3.446 2.153
```

- electronic total energy (eV/cell) = -90.1
- ΔE_f (raw) (eV per formula unit) = -4.710
- density (g/cm3) = 3.19
- DOS at the Fermi energy (states/eV/f.u.) = 3.11


Computed, not measured: a relaxed Nb2GaTc crystal at the PBE level of DFT.

Geometry as extended XYZ:
```
4
Lattice="3.363 0.000 0.000 0.000 3.363 0.000 0.000 0.000 5.845" Properties=species:S:1:pos:R:3 pbc="T T T"
Nb 0.000 0.000 4.399
Nb 0.000 0.000 1.445
Ga 1.681 1.681 2.922
Tc 1.681 1.681 0.000
```

- electronic total energy (eV/cell) = -34.3
- ΔE_f (eV per atom) = -0.19
- density (g/cm3) = 8.88
- DOS at the Fermi energy (states/eV/f.u.) = 2.68


Computed, not measured: a relaxed BeGa crystal at the PBE level of DFT.

Geometry as extended XYZ:
```
32
Lattice="-2.916 0.973 -0.850 -3.601 -0.481 11.797 3.430 11.605 1.520" Properties=species:S:1:pos:R:3 pbc="T T T"
Be -0.043 5.273 0.202
Be 0.643 7.810 3.744
Be 3.130 10.588 1.387
Be -2.014 10.089 9.483
Be 0.558 7.305 0.468
Be 0.300 1.016 0.133
Be -2.872 1.768 8.882
Be -0.386 4.546 6.525
Be -0.128 10.834 6.860
Be -2.271 3.800 9.148
Be -2.530 2.495 2.559
Be 1.244 9.843 4.010
Be 0.215 6.578 6.792
Be -1.929 4.527 2.825
Be -2.958 1.262 5.607
Be -2.615 8.056 9.217
Ga -2.832 3.430 4.666
Ga -2.998 -0.400 9.823
Ga 0.517 5.642 4.684
Ga -0.688 5.481 8.633
Ga -1.627 3.591 0.717
Ga 0.341 8.746 5.851
Ga -0.603 -0.080 1.975
Ga -2.655 0.327 3.499
Ga -3.174 2.703 10.990
Ga -0.345 6.208 2.309
Ga 1.546 8.907 1.902
Ga -2.741 5.888 10.158
Ga -1.969 2.864 7.041
Ga -1.712 9.153 7.376
Ga -2.917 8.992 11.325
Ga -3.861 0.166 7.448
```

- electronic total energy (eV/cell) = -95.2
- ΔE_f (eV per atom) = 0.40
- density (g/cm3) = 4.36
- DOS at the Fermi energy (states/eV/f.u.) = 0.65


- Look up the DOS at the Fermi energy of the second one.
  2.68 states/eV/f.u.